Entry 1:
# Ho2Ge2O7

Ho2Ge2O7 after structural relaxation (PBE-GGA, Alexandria).

Structure (POSCAR):
```
Ho2Ge2O7
1.0
6.849 0.000 0.000
0.000 6.849 0.000
0.000 0.000 12.470
O Ho Ge
28 8 8
direct
0.682 0.144 0.545 O
0.662 0.935 0.929 O
0.356 0.182 0.795 O
0.818 0.644 0.705 O
0.565 0.162 0.179 O
0.803 0.197 0.750 O
0.968 0.078 0.377 O
0.644 0.818 0.295 O
0.182 0.356 0.205 O
0.338 0.065 0.429 O
0.197 0.803 0.250 O
0.144 0.682 0.455 O
0.532 0.578 0.873 O
0.065 0.338 0.571 O
0.303 0.303 0.000 O
0.318 0.856 0.045 O
0.935 0.662 0.071 O
0.032 0.922 0.877 O
0.922 0.032 0.123 O
0.078 0.968 0.623 O
0.422 0.468 0.627 O
0.697 0.697 0.500 O
0.162 0.565 0.821 O
0.468 0.422 0.373 O
0.856 0.318 0.955 O
0.578 0.532 0.127 O
0.435 0.838 0.679 O
0.838 0.435 0.321 O
0.147 0.375 0.385 Ho
0.875 0.353 0.135 Ho
0.125 0.647 0.635 Ho
0.353 0.875 0.865 Ho
0.625 0.853 0.115 Ho
0.375 0.147 0.615 Ho
0.647 0.125 0.365 Ho
0.853 0.625 0.885 Ho
0.900 0.152 0.619 Ge
0.600 0.652 0.631 Ge
0.848 0.100 0.881 Ge
0.152 0.900 0.381 Ge
0.400 0.348 0.131 Ge
0.348 0.400 0.869 Ge
0.652 0.600 0.369 Ge
0.100 0.848 0.119 Ge
```

## Properties
Energy relative to the elements, uncorrected, kJ per mole of atoms: -253
Spin magnetization, μB/f.u.: 0.00

Entry 2:
# AgRuF3

AgRuF3 after structural relaxation (PBE-GGA, Alexandria).

Structure (POSCAR):
```
AgRuF3
1.0
-3.165 1.277 -2.732
0.858 -3.415 -2.591
-2.891 -2.412 2.221
Ag F Ru
1 3 1
direct
0.000 0.000 0.000 Ag
0.000 0.000 0.500 F
0.000 0.500 0.000 F
0.500 0.000 0.000 F
0.500 0.500 0.500 Ru
```

## Properties
Energy relative to the elements, uncorrected, kJ per mole of atoms: -25
Spin magnetization, μB/f.u.: 3.39

Entry 3:
# Li3TmBi2

Li3TmBi2 after structural relaxation (PBE-GGA, Alexandria).

Structure (POSCAR):
```
Li3TmBi2
1.0
-0.583 -4.544 0.172
1.923 -0.517 -7.130
8.081 -0.951 2.248
Bi Tm Li
4 2 6
direct
0.000 0.742 0.361 Bi
0.500 0.754 0.845 Bi
0.000 0.242 0.639 Bi
0.500 0.254 0.155 Bi
0.500 0.020 0.453 Tm
0.500 0.520 0.547 Tm
0.000 0.352 0.308 Li
0.000 0.987 0.080 Li
0.000 0.487 0.920 Li
0.500 0.644 0.162 Li
0.000 0.852 0.692 Li
0.500 0.144 0.838 Li
```

## Properties
DFT formation energy, eV/f.u.: -3.6
Spin magnetization, μB/f.u.: 0.00

Entry 4:
# Sm2EuGe

Sm2EuGe after structural relaxation (PBE-GGA, Alexandria).

Structure (POSCAR):
```
Sm2EuGe
1.0
3.898 0.000 0.000
0.000 3.898 0.000
0.000 0.000 7.938
Eu Sm Ge
1 2 1
direct
0.500 0.500 0.500 Eu
0.000 0.000 0.811 Sm
0.000 0.000 0.189 Sm
0.500 0.500 0.000 Ge
```

## Properties
DFT formation energy, eV/f.u.: -1.1
Spin magnetization, μB/f.u.: 8.48

Entry 5:
# Si2NCl

Si2NCl after structural relaxation (PBE-GGA, Alexandria).

Structure (POSCAR):
```
Si2NCl
1.0
0.000 3.053 3.053
3.053 0.000 3.053
3.053 3.053 0.000
Cl Si N
1 2 1
direct
0.500 0.500 0.500 Cl
0.750 0.750 0.750 Si
0.250 0.250 0.250 Si
0.000 0.000 0.000 N
```

## Properties
Energy relative to the elements, uncorrected, kJ per mole of atoms: 122
Spin magnetization, μB/f.u.: 0.00

Entry 6:
# La2Hg2Cl

La2Hg2Cl after structural relaxation (PBE-GGA, Alexandria).

Structure (POSCAR):
```
La2Hg2Cl
1.0
-1.468 -6.748 -3.761
-2.533 -3.196 6.724
-4.609 1.558 -0.996
Cl La Hg
2 4 4
direct
0.000 0.000 0.000 Cl
0.500 0.500 0.000 Cl
0.839 0.661 0.000 La
0.339 0.839 0.000 La
0.661 0.161 0.000 La
0.161 0.339 0.000 La
0.862 0.362 0.500 Hg
0.362 0.138 0.500 Hg
0.138 0.638 0.500 Hg
0.638 0.862 0.500 Hg
```

## Properties
Energy relative to the elements, uncorrected, kJ per mole of atoms: -83
Spin magnetization, μB/f.u.: 0.00

Entry 7:
# Ce2PmEu

Ce2PmEu after structural relaxation (PBE-GGA, Alexandria).

Structure (POSCAR):
```
Ce2PmEu
1.0
-1.846 -3.778 3.102
-2.383 -2.040 -3.903
4.033 -2.793 -1.003
Pm Ce Eu
1 2 1
direct
0.500 0.500 0.500 Pm
0.000 0.500 0.000 Ce
0.000 0.000 0.500 Ce
0.500 0.000 0.000 Eu
```

## Properties
DFT formation energy, eV/f.u.: 0.8
Spin magnetization, μB/f.u.: 9.37

Entry 8:
# CaAl2Sb2

CaAl2Sb2 after structural relaxation (PBE-GGA, Alexandria).

Structure (POSCAR):
```
CaAl2Sb2
1.0
-2.107 -1.834 -3.076
3.066 -2.769 -0.449
-2.825 -6.757 3.158
Al Ca Sb
2 1 2
direct
0.750 0.250 0.500 Al
0.250 0.750 0.500 Al
0.000 0.000 0.000 Ca
0.612 0.612 0.776 Sb
0.388 0.388 0.224 Sb
```

## Properties
Energy relative to the elements, uncorrected, kJ per mole of atoms: -19
Spin magnetization, μB/f.u.: 0.00

Entry 9:
# Tb4Pm5Al

Tb4Pm5Al after structural relaxation (PBE-GGA, Alexandria).

Structure (POSCAR):
```
Tb4Pm5Al
1.0
-3.718 -4.210 1.525
2.680 -4.056 6.438
-5.452 2.710 5.292
Tb Al Pm
4 1 5
direct
0.457 0.684 0.316 Tb
0.772 0.684 0.684 Tb
0.457 0.316 0.684 Tb
0.141 0.316 0.316 Tb
0.176 0.000 0.000 Al
0.147 0.000 0.632 Pm
0.779 0.368 0.000 Pm
0.147 0.632 0.000 Pm
0.655 0.000 0.000 Pm
0.779 0.000 0.368 Pm
```

## Properties
DFT formation energy, eV/f.u.: 1.3
Spin magnetization, μB/f.u.: 0.00

Entry 10:
# Ho4Co2N

Ho4Co2N after structural relaxation (PBE-GGA, Alexandria).

Structure (POSCAR):
```
Ho4Co2N
1.0
-3.830 -2.545 -0.235
1.290 -2.291 3.780
-4.718 2.394 5.866
Ho Co N
4 2 1
direct
0.308 0.308 0.383 Ho
0.500 0.000 0.000 Ho
0.000 0.500 0.000 Ho
0.692 0.692 0.617 Ho
0.128 0.128 0.744 Co
0.872 0.872 0.256 Co
0.000 0.000 0.000 N
```

## Properties
Energy relative to the elements, uncorrected, kJ per mole of atoms: -21
Spin magnetization, μB/f.u.: 0.00

Entry 11:
# Pm3Cd2In3

Pm3Cd2In3 after structural relaxation (PBE-GGA, Alexandria).

Structure (POSCAR):
```
Pm3Cd2In3
1.0
-3.341 3.140 -1.479
0.913 -4.652 -4.095
-11.196 -8.526 7.191
In Cd Pm
6 4 6
direct
0.391 0.782 0.544 In
0.609 0.218 0.044 In
0.633 0.266 0.750 In
0.391 0.782 0.956 In
0.609 0.218 0.456 In
0.367 0.734 0.250 In
0.786 0.571 0.601 Cd
0.214 0.429 0.101 Cd
0.214 0.429 0.399 Cd
0.786 0.571 0.899 Cd
0.082 0.164 0.612 Pm
0.918 0.836 0.388 Pm
0.347 0.694 0.750 Pm
0.918 0.836 0.112 Pm
0.082 0.164 0.888 Pm
0.653 0.306 0.250 Pm
```

## Properties
DFT formation energy, eV/f.u.: -3.4
Spin magnetization, μB/f.u.: 0.38

Entry 12:
# GdPa2W

GdPa2W after structural relaxation (PBE-GGA, Alexandria).

Structure (POSCAR):
```
GdPa2W
1.0
-2.394 0.145 -2.300
-0.825 -2.725 -1.714
-7.954 -3.191 5.676
Gd Pa W
1 2 1
direct
0.000 0.000 0.000 Gd
0.240 0.240 0.279 Pa
0.760 0.760 0.721 Pa
0.500 0.500 0.500 W
```

## Properties
DFT formation energy, eV/f.u.: 1.7
Spin magnetization, μB/f.u.: 7.34

Entry 13:
# NaAg2RuF6

NaAg2RuF6 after structural relaxation (PBE-GGA, Alexandria).

Structure (POSCAR):
```
NaAg2RuF6
1.0
5.968 0.000 -0.002
-2.984 5.169 0.001
-2.984 -1.722 4.693
F Ag Ru Na
6 2 1 1
direct
0.092 0.224 0.742 F
0.462 0.129 0.220 F
0.901 0.771 0.219 F
0.532 0.866 0.741 F
0.889 0.664 0.741 F
0.104 0.331 0.219 F
0.489 0.244 0.718 Ag
0.504 0.752 0.242 Ag
0.997 0.998 0.980 Ru
0.997 0.498 0.480 Na
```

## Properties
Energy relative to the elements, uncorrected, kJ per mole of atoms: -153
Spin magnetization, μB/f.u.: 1.00

Entry 14:
# YZrP3

YZrP3 after structural relaxation (PBE-GGA, Alexandria).

Structure (POSCAR):
```
YZrP3
1.0
-4.587 -0.165 -1.843
0.576 -4.810 -1.002
-1.759 -1.144 4.480
P Zr Y
3 1 1
direct
0.000 0.000 0.500 P
0.000 0.500 0.000 P
0.500 0.000 0.000 P
0.000 0.000 0.000 Zr
0.500 0.500 0.500 Y
```

## Properties
DFT formation energy, eV/f.u.: -1.4
Spin magnetization, μB/f.u.: 0.00

Entry 15:
# CdCu2SnTe4

CdCu2SnTe4 after structural relaxation (PBE-GGA, Alexandria).

Structure (POSCAR):
```
CdCu2SnTe4
1.0
6.320 0.000 0.000
0.000 6.320 0.000
-3.160 -3.160 6.239
Te Cd Cu Sn
4 1 2 1
direct
0.890 0.890 0.285 Te
0.110 0.605 0.715 Te
0.395 0.395 0.285 Te
0.605 0.110 0.715 Te
0.000 0.000 0.000 Cd
0.750 0.250 0.500 Cu
0.250 0.750 0.500 Cu
0.500 0.500 0.000 Sn
```

## Properties
Energy relative to the elements, uncorrected, kJ per mole of atoms: -21
Spin magnetization, μB/f.u.: 0.00

Entry 16:
# Na2FeCuPb

Na2FeCuPb after structural relaxation (PBE-GGA, Alexandria).

Structure (POSCAR):
```
Na2FeCuPb
1.0
5.856 0.000 0.000
0.000 4.917 0.000
0.000 0.000 5.856
Fe Pb Cu Na
1 1 1 2
direct
0.500 0.500 0.500 Fe
0.000 0.000 0.000 Pb
0.000 0.500 0.000 Cu
0.000 0.000 0.500 Na
0.500 0.000 0.000 Na
```

## Properties
DFT formation energy, eV/f.u.: 5.2
Spin magnetization, μB/f.u.: 3.88

Entry 17:
# PrY5Sn6

PrY5Sn6 after structural relaxation (PBE-GGA, Alexandria).

Structure (POSCAR):
```
PrY5Sn6
1.0
9.187 -0.215 0.000
2.621 5.184 0.000
1.311 2.592 7.104
Y Sn Pr
5 6 1
direct
0.000 0.330 0.340 Y
0.500 0.500 0.000 Y
0.500 0.838 0.323 Y
0.000 0.670 0.660 Y
0.500 0.162 0.677 Y
0.256 0.569 0.339 Sn
0.754 0.725 0.000 Sn
0.744 0.431 0.661 Sn
0.256 0.907 0.661 Sn
0.744 0.093 0.339 Sn
0.246 0.275 0.000 Sn
0.000 0.000 0.000 Pr
```

## Properties
DFT formation energy, eV/f.u.: -7.8
Spin magnetization, μB/f.u.: 0.00

Entry 18:
# LiHoBi

LiHoBi after structural relaxation (PBE-GGA, Alexandria).

Structure (POSCAR):
```
LiHoBi
1.0
-1.162 -1.505 3.256
3.359 -1.657 0.433
2.775 10.924 3.855
Ho Li Bi
2 2 2
direct
0.573 0.573 0.147 Ho
0.427 0.427 0.853 Ho
0.715 0.715 0.431 Li
0.285 0.285 0.569 Li
0.156 0.156 0.312 Bi
0.844 0.844 0.688 Bi
```

## Properties
DFT formation energy, eV/f.u.: -0.7
Spin magnetization, μB/f.u.: 0.00

Entry 19:
# DyPa4As6

DyPa4As6 after structural relaxation (PBE-GGA, Alexandria).

Structure (POSCAR):
```
DyPa4As6
1.0
8.020 -0.007 -0.060
0.059 8.020 -0.060
0.007 0.007 8.020
Dy As Pa
2 12 8
direct
0.000 0.000 0.000 Dy
0.500 0.500 0.500 Dy
0.936 0.084 0.672 As
0.328 0.936 0.916 As
0.436 0.828 0.416 As
0.416 0.564 0.828 As
0.916 0.672 0.936 As
0.084 0.328 0.064 As
0.564 0.172 0.584 As
0.064 0.916 0.328 As
0.828 0.584 0.564 As
0.672 0.064 0.084 As
0.584 0.436 0.172 As
0.172 0.416 0.436 As
0.250 0.250 0.750 Pa
0.638 0.862 0.750 Pa
0.250 0.638 0.138 Pa
0.138 0.750 0.638 Pa
0.362 0.138 0.250 Pa
0.750 0.750 0.250 Pa
0.862 0.250 0.362 Pa
0.750 0.362 0.862 Pa
```

## Properties
DFT formation energy, eV/f.u.: -10.0
Spin magnetization, μB/f.u.: 0.01

Entry 20:
# Ho6CdPd2

Ho6CdPd2 after structural relaxation (PBE-GGA, Alexandria).

Structure (POSCAR):
```
Ho6CdPd2
1.0
-3.765 5.902 4.844
-5.475 -4.080 -5.085
3.476 -6.087 4.831
Pd Ho Cd
4 12 2
direct
0.344 0.000 0.344 Pd
0.500 0.633 0.133 Pd
0.656 0.000 0.656 Pd
0.500 0.367 0.867 Pd
0.105 0.288 0.817 Ho
0.299 0.973 0.674 Ho
0.701 0.375 0.674 Ho
0.701 0.027 0.326 Ho
0.895 0.712 0.183 Ho
0.197 0.762 0.959 Ho
0.471 0.288 0.183 Ho
0.197 0.238 0.435 Ho
0.299 0.625 0.326 Ho
0.529 0.712 0.817 Ho
0.803 0.238 0.041 Ho
0.803 0.762 0.565 Ho
0.000 0.000 0.000 Cd
0.000 0.500 0.500 Cd
```

## Properties
DFT formation energy, eV/f.u.: -4.5
Spin magnetization, μB/f.u.: 0.00

Entry 21:
# Re2NiTe

Re2NiTe after structural relaxation (PBE-GGA, Alexandria).

Structure (POSCAR):
```
Re2NiTe
1.0
-1.671 0.358 -4.054
-2.951 -3.125 0.940
-2.008 2.203 1.022
Re Te Ni
2 1 1
direct
0.000 0.000 0.000 Re
0.500 0.500 0.000 Re
0.500 0.000 0.500 Te
0.000 0.500 0.500 Ni
```

## Properties
Energy relative to the elements, uncorrected, kJ per mole of atoms: 63
Spin magnetization, μB/f.u.: 0.00

Entry 22:
# CaP2WS

CaP2WS after structural relaxation (PBE-GGA, Alexandria).

Structure (POSCAR):
```
CaP2WS
1.0
4.685 0.000 0.000
0.000 4.685 0.000
0.000 0.000 4.927
Ca P W S
1 2 1 1
direct
0.500 0.500 0.500 Ca
0.500 0.000 0.000 P
0.000 0.500 0.000 P
0.000 0.000 0.000 W
0.000 0.000 0.500 S
```

## Properties
Energy relative to the elements, uncorrected, kJ per mole of atoms: -30
Spin magnetization, μB/f.u.: 0.00